Here is an optimized crystal structure of In2Te2Au from the Alexandria database. Energies are from PBE.

## Properties
**Energy relative to the elements, uncorrected**: 0.063 eV per atom

```
In2Te2Au
1.0
-4.136 0.458 7.013
0.759 -8.061 0.974
3.526 0.579 2.042
In Te Au
4 4 2
Direct
0.659 0.159 0.000
0.159 0.341 0.000
0.341 0.841 0.000
0.841 0.659 0.000
0.848 0.348 0.500
0.152 0.652 0.500
0.652 0.848 0.500
0.348 0.152 0.500
0.500 0.500 0.000
0.000 0.000 0.000
```

***

Here is an optimized crystal structure of Zr2ScGeB from the Alexandria database. Energies are from PBE.

## Properties
**Total DFT energy (no corrections)**: -26.377 eV for the cell shown

```
Zr2ScGeB
1.0
-1.544 0.541 -4.657
2.378 -4.062 -1.261
-4.022 -2.672 1.022
Ge B Zr Sc
1 1 2 1
Direct
0.000 0.500 0.000
0.500 0.500 0.500
0.500 0.000 0.000
0.000 0.000 0.500
0.000 0.000 0.000
```

***

Here is an optimized crystal structure of AcThCu2 from the Alexandria database. Energies are from PBE.

## Properties
**Total DFT energy (no corrections)**: -19.278 eV for the cell shown

```
AcThCu2
1.0
-2.308 -3.232 0.207
1.071 -3.333 -1.887
3.568 -4.613 5.982
Ac Cu Th
1 2 1
Direct
0.500 0.500 0.500
0.257 0.257 0.230
0.743 0.743 0.770
0.000 0.000 0.000
```

***

Here is an optimized crystal structure of Tb2ThRu from the Alexandria database. Energies are from PBE.

## Properties
**Total DFT energy (no corrections)**: -54.227 eV for the cell shown

```
Tb2ThRu
1.0
3.821 -0.148 0.000
-1.677 6.069 0.000
0.000 0.000 9.649
Tb Ru Th
4 2 2
Direct
0.141 0.282 0.430
0.859 0.718 0.570
0.859 0.718 0.930
0.141 0.282 0.070
0.760 0.519 0.250
0.240 0.481 0.750
0.419 0.837 0.250
0.581 0.163 0.750
```

***

Here is an optimized crystal structure of Sm2Er3Tm6Pb from the Alexandria database. Energies are from PBE.

## Properties
**Total DFT energy (no corrections)**: -54.368 eV for the cell shown

```
Sm2Er3Tm6Pb
1.0
6.037 -0.002 0.016
-3.019 5.228 0.016
-1.041 -1.802 11.430
Tm Er Sm Pb
6 3 2 1
Direct
0.411 0.083 0.251
0.083 0.411 0.251
0.755 0.755 0.252
0.245 0.245 0.748
0.589 0.917 0.749
0.917 0.589 0.749
0.167 0.833 0.500
0.500 0.500 0.500
0.833 0.167 0.500
0.334 0.666 0.000
0.666 0.334 0.000
0.000 0.000 0.000
```

***

Here is an optimized crystal structure of TlWBr2 from the Alexandria database. Energies are from PBE.

## Properties
**Energy relative to the elements, uncorrected**: 0.914 eV per atom

```
TlWBr2
1.0
5.527 0.008 0.000
-0.022 5.527 0.000
0.000 0.000 3.416
Tl W Br
1 1 2
Direct
0.500 0.000 0.500
0.000 0.500 0.500
0.500 0.500 0.000
0.000 0.000 0.000
```

***

Here is an optimized crystal structure of AcPr2ErBi4 from the Alexandria database. Energies are from PBE.

## Properties
**Total DFT energy (no corrections)**: -40.984 eV for the cell shown

```
AcPr2ErBi4
1.0
4.664 0.000 0.000
0.000 8.075 -0.165
0.000 2.837 7.547
Bi Pr Ac Er
4 2 1 1
Direct
0.000 0.255 0.237
0.000 0.745 0.763
0.500 0.754 0.237
0.500 0.246 0.763
0.000 0.000 0.000
0.500 0.000 0.500
0.000 0.500 0.500
0.500 0.500 0.000
```

***

Here is an optimized crystal structure of YTlAg from the Alexandria database. Energies are from PBE.

## Properties
**Total DFT energy (no corrections)**: -11.263 eV for the cell shown

```
YTlAg
1.0
-2.711 2.019 3.667
-4.877 -0.992 0.333
-1.714 -2.868 3.704
Y Ag Tl
1 1 1
Direct
0.250 0.250 0.250
0.000 0.000 0.000
0.500 0.500 0.500
```

***

Here is an optimized crystal structure of Dy3ErZr from the Alexandria database. Energies are from PBE.

## Properties
**Total DFT energy (no corrections)**: -53.273 eV for the cell shown

```
Dy3ErZr
1.0
8.847 -0.613 1.349
-6.082 7.853 -6.476
2.074 -3.280 7.159
Dy Er Zr
6 2 2
Direct
0.563 0.740 0.438
0.437 0.260 0.562
0.241 0.647 0.148
0.330 0.123 0.025
0.759 0.353 0.852
0.670 0.877 0.975
0.151 0.530 0.624
0.849 0.470 0.376
0.052 0.071 0.759
0.948 0.929 0.241
```

***

Here is an optimized crystal structure of Na3SmSb2Se6 from the Alexandria database. Energies are from PBE.

## Properties
**Energy relative to the elements, uncorrected**: -0.991 eV per atom

```
Na3SmSb2Se6
1.0
7.264 -0.002 0.001
-3.632 6.291 0.001
-1.210 -2.095 7.033
Se Na Sb Sm
6 3 2 1
Direct
0.586 0.923 0.769
0.077 0.414 0.231
0.260 0.260 0.767
0.740 0.740 0.233
0.414 0.077 0.231
0.923 0.586 0.769
0.170 0.830 0.500
0.500 0.500 0.500
0.830 0.170 0.500
0.666 0.334 0.000
0.334 0.666 0.000
0.000 0.000 0.000
```

***

Here is an optimized crystal structure of Ce4Fe3B6 from the Alexandria database. Energies are from PBE.

## Properties
**Total DFT energy (no corrections)**: -94.507 eV for the cell shown

```
Ce4Fe3B6
1.0
-3.430 3.323 6.196
-7.046 0.880 3.283
-3.947 -1.890 6.484
Ce B Fe
4 6 3
Direct
0.596 0.596 0.596
0.263 0.263 0.263
0.737 0.737 0.737
0.404 0.404 0.404
0.500 0.831 0.169
0.500 0.169 0.831
0.831 0.169 0.500
0.169 0.500 0.831
0.831 0.500 0.169
0.169 0.831 0.500
0.000 0.000 0.000
0.887 0.887 0.887
0.113 0.113 0.113
```

***

Here is an optimized crystal structure of La3Ga2Ir7 from the Alexandria database. Energies are from PBE.

## Properties
**Total DFT energy (no corrections)**: -91.350 eV for the cell shown

```
La3Ga2Ir7
1.0
5.321 0.000 1.665
2.400 4.749 1.665
0.128 0.079 8.923
La Ir Ga
3 7 2
Direct
0.859 0.859 0.422
0.141 0.141 0.578
0.000 0.000 0.000
0.923 0.417 0.243
0.583 0.077 0.757
0.077 0.583 0.757
0.417 0.417 0.243
0.417 0.923 0.243
0.500 0.500 0.500
0.583 0.583 0.757
0.665 0.665 0.006
0.335 0.335 0.994
```

***

Here is an optimized crystal structure of Ba2LaTa from the Alexandria database. Energies are from PBE.

## Properties
**Total DFT energy (no corrections)**: -16.855 eV for the cell shown

```
Ba2LaTa
1.0
-2.167 -1.378 -2.370
4.398 -2.225 -2.727
-0.547 -5.903 3.933
Ta Ba La
1 2 1
Direct
0.500 0.500 0.750
0.000 0.000 0.515
0.000 0.000 0.985
0.500 0.500 0.250
```

***

Here is an optimized crystal structure of Ac2CeGe2 from the Alexandria database. Energies are from PBE.

## Properties
**Total DFT energy (no corrections)**: -51.492 eV for the cell shown

```
Ac2CeGe2
1.0
5.480 0.000 0.000
0.000 6.348 -2.716
0.000 0.110 9.035
Ce Ac Ge
2 4 4
Direct
0.000 0.000 0.000
0.500 0.000 0.000
0.250 0.210 0.420
0.750 0.419 0.839
0.250 0.581 0.161
0.750 0.790 0.580
0.750 0.384 0.253
0.750 0.869 0.253
0.250 0.616 0.747
0.250 0.131 0.747
```

***

Here is an optimized crystal structure of Rb2TbInTe4 from the Alexandria database. Energies are from PBE.

## Properties
**Energy relative to the elements, uncorrected**: -0.964 eV per atom

```
Rb2TbInTe4
1.0
-5.910 -0.282 4.758
-2.588 -6.548 2.456
1.057 0.149 7.380
Te Rb In Tb
4 2 1 1
Direct
0.911 0.000 0.652
0.437 0.652 0.000
0.563 0.000 0.348
0.089 0.348 0.000
0.500 0.500 0.500
0.000 0.500 0.500
0.500 0.000 0.000
0.000 0.000 0.000
```

***

Here is an optimized crystal structure of Dy2Ho7Th2 from the Alexandria database. Energies are from PBE.

## Properties
**Total DFT energy (no corrections)**: -54.031 eV for the cell shown

```
Dy2Ho7Th2
1.0
-7.622 -0.420 -3.895
-0.077 -0.673 5.938
-1.713 7.071 4.527
Th Dy Ho
2 2 7
Direct
0.788 0.500 0.788
0.212 0.500 0.212
0.235 0.883 0.765
0.765 0.117 0.235
0.593 0.820 0.941
0.410 0.625 0.590
0.590 0.375 0.410
0.407 0.180 0.059
0.059 0.820 0.407
0.000 0.000 0.000
0.941 0.180 0.593
```

***

Here is an optimized crystal structure of CoAu2Se from the Alexandria database. Energies are from PBE.

## Properties
**Energy relative to the elements, uncorrected**: 0.144 eV per atom

```
CoAu2Se
1.0
-1.639 2.535 3.634
-1.751 -0.304 4.378
4.969 0.733 3.540
Au Se Co
2 1 1
Direct
0.019 0.019 0.947
0.793 0.793 0.709
0.146 0.146 0.285
0.541 0.541 0.560
```

***

Here is an optimized crystal structure of Na12In6Hg from the Alexandria database. Energies are from PBE.

## Properties
**Total DFT energy (no corrections)**: -34.324 eV for the cell shown

```
Na12In6Hg
1.0
-5.514 3.236 5.173
1.971 -5.387 5.893
5.594 5.121 3.181
In Hg Na
6 1 12
Direct
0.887 0.742 0.256
0.258 0.744 0.113
0.256 0.887 0.742
0.113 0.258 0.744
0.744 0.113 0.258
0.742 0.256 0.887
0.000 0.000 0.000
0.810 0.421 0.522
0.478 0.190 0.579
0.522 0.810 0.421
0.378 0.146 0.036
0.579 0.478 0.190
0.146 0.036 0.378
0.622 0.854 0.964
0.964 0.622 0.854
0.190 0.579 0.478
0.036 0.378 0.146
0.854 0.964 0.622
0.421 0.522 0.810
```

***

Here is an optimized crystal structure of La2TlSb2 from the Alexandria database. Energies are from PBE.

## Properties
**Energy relative to the elements, uncorrected**: -0.483 eV per atom

```
La2TlSb2
1.0
5.460 0.000 0.000
0.000 5.460 0.000
2.730 2.730 6.361
Tl La Sb
1 2 2
Direct
0.000 0.000 0.000
0.750 0.250 0.500
0.250 0.750 0.500
0.619 0.619 0.763
0.381 0.381 0.237
```

***

Here is an optimized crystal structure of NdIn4Au4 from the Alexandria database. Energies are from PBE.

## Properties
**Total DFT energy (no corrections)**: -62.849 eV for the cell shown

```
NdIn4Au4
1.0
-6.210 -2.685 -0.828
2.641 -6.264 0.501
-1.295 0.183 9.115
Au In Nd
8 8 2
Direct
0.000 0.280 0.698
0.000 0.720 0.698
0.220 0.500 0.198
0.500 0.220 0.802
0.780 0.500 0.198
0.280 0.000 0.302
0.500 0.780 0.802
0.720 0.000 0.302
0.000 0.729 0.394
0.500 0.771 0.106
0.000 0.271 0.394
0.771 0.500 0.894
0.729 0.000 0.606
0.500 0.229 0.106
0.229 0.500 0.894
0.271 0.000 0.606
0.500 0.500 0.500
0.000 0.000 0.000
```

***

Here is an optimized crystal structure of Li2AcCO5 from the Alexandria database. Energies are from PBE.

## Properties
**Energy relative to the elements, uncorrected**: -1.938 eV per atom

```
Li2AcCO5
1.0
6.451 0.000 0.000
0.000 6.451 0.000
-3.225 -3.225 4.793
C O Li Ac
2 10 4 2
Direct
0.750 0.250 0.500
0.250 0.750 0.500
0.961 0.461 0.679
0.718 0.218 0.679
0.539 0.282 0.321
0.282 0.782 0.321
0.039 0.539 0.321
0.461 0.718 0.679
0.782 0.039 0.321
0.500 0.500 0.000
0.218 0.961 0.679
0.000 0.000 0.000
0.640 0.140 0.000
0.360 0.860 0.000
0.860 0.640 0.000
0.140 0.360 0.000
0.750 0.750 0.500
0.250 0.250 0.500
```

***

Here is an optimized crystal structure of LiTcP2S from the Alexandria database. Energies are from PBE.

## Properties
**Energy relative to the elements, uncorrected**: 1.036 eV per atom

```
LiTcP2S
1.0
4.180 0.000 0.000
0.000 4.180 0.000
0.000 0.000 4.269
Tc P Li S
1 2 1 1
Direct
0.500 0.500 0.500
0.500 0.000 0.000
0.000 0.500 0.000
0.000 0.000 0.000
0.000 0.000 0.500
```

***

Here is an optimized crystal structure of Al2ZnOs from the Alexandria database. Energies are from PBE.

## Properties
**Total DFT energy (no corrections)**: -20.411 eV for the cell shown

```
Al2ZnOs
1.0
-3.177 -7.884 -0.844
-0.696 -8.205 -2.270
-0.757 -8.487 0.595
Os Zn Al
1 1 2
Direct
0.250 0.250 0.250
0.750 0.750 0.750
0.504 0.504 0.504
0.996 0.996 0.996
```

***

Here is an optimized crystal structure of FeSnSe2Br from the Alexandria database. Energies are from PBE.

## Properties
**Energy relative to the elements, uncorrected**: -0.011 eV per atom

```
FeSnSe2Br
1.0
4.834 0.000 0.000
0.000 4.834 0.000
0.000 0.000 5.136
Fe Se Br Sn
1 2 1 1
Direct
0.000 0.000 0.000
0.000 0.500 0.000
0.500 0.000 0.000
0.000 0.000 0.500
0.500 0.500 0.500
```

***

no.,total magnetization (Bohr magnetons per cell)
1,0.0
2,0.0
3,0.0
4,0.0
5,0.0
6,4.0
7,0.0
8,0.0
9,0.0
10,0.0
11,1.4
12,0.0
13,1.1
14,2.2
15,0.0
16,0.0
17,1.3
18,0.0
19,0.0
20,0.0
21,0.3
22,0.0
23,0.0
24,3.4